[1]
# Er4Al2Cd5 | Alexandria via LeMat-Bulk | PBE-GGA | optimized geometry
data_Er4Al2Cd5
_symmetry_space_group_name_H-M 'P 1 2/m 1'
_symmetry_Int_Tables_number 10
_cell_length_a 7.729
_cell_length_b 3.498
_cell_length_c 9.834
_cell_angle_alpha 90.00
_cell_angle_beta 94.89
_cell_angle_gamma 90.00
loop_
_symmetry_equiv_pos_as_xyz
'x,y,z'
'-x,-y,-z'
'-x,y,-z'
'x,-y,z'
loop_
_atom_site_label
_atom_site_type_symbol
_atom_site_fract_x
_atom_site_fract_y
_atom_site_fract_z
_atom_site_occupancy
Er1 Er 0.168 0.000 0.379 1
Er2 Er 0.266 0.000 0.939 1
Al1 Al 0.060 0.500 0.130 1
Cd1 Cd 0.183 0.500 0.661 1
Cd2 Cd 0.434 0.500 0.199 1
Cd3 Cd 0.500 0.500 0.500 1
# ρ = 8.055 g cm⁻³
# formation energy from the elements = -288.7 meV/atom

[2]
# CaPuAg2 | Alexandria via LeMat-Bulk | PBE-GGA | optimized geometry
data_CaPuAg2
_symmetry_space_group_name_H-M 'F m -3 m'
_symmetry_Int_Tables_number 225
_symmetry_space_group_name_Hall '-F 4 2 3'
_cell_length_a 7.410
_cell_length_b 7.410
_cell_length_c 7.410
_cell_angle_alpha 90.00
_cell_angle_beta 90.00
_cell_angle_gamma 90.00
loop_
_atom_site_label
_atom_site_type_symbol
_atom_site_fract_x
_atom_site_fract_y
_atom_site_fract_z
_atom_site_occupancy
Ca1 Ca 0.000 0.000 0.000 1
Pu1 Pu 0.000 0.000 0.500 1
Ag1 Ag 0.250 0.250 0.250 1
# ρ = 8.160 g cm⁻³
# formation energy from the elements = -34.0 meV/atom

[3]
# OsWSe4 | Alexandria via LeMat-Bulk | PBE-GGA | optimized geometry
data_OsWSe4
_symmetry_space_group_name_H-M 'F -4 3 m'
_symmetry_Int_Tables_number 216
_symmetry_space_group_name_Hall 'F -4 2 3'
_cell_length_a 7.611
_cell_length_b 7.611
_cell_length_c 7.611
_cell_angle_alpha 90.00
_cell_angle_beta 90.00
_cell_angle_gamma 90.00
loop_
_atom_site_label
_atom_site_type_symbol
_atom_site_fract_x
_atom_site_fract_y
_atom_site_fract_z
_atom_site_occupancy
Os1 Os 0.000 0.000 0.000 1
W1 W 0.250 0.250 0.250 1
Se1 Se 0.125 0.125 0.625 1
# ρ = 10.396 g cm⁻³
# ΔE_f (raw) = 1.786 eV/atom

[4]
# PmHoTcAg | Alexandria via LeMat-Bulk | PBE-GGA | optimized geometry
data_PmHoTcAg
_symmetry_space_group_name_H-M 'F -4 3 m'
_symmetry_Int_Tables_number 216
_symmetry_space_group_name_Hall 'F -4 2 3'
_cell_length_a 7.104
_cell_length_b 7.104
_cell_length_c 7.104
_cell_angle_alpha 90.00
_cell_angle_beta 90.00
_cell_angle_gamma 90.00
loop_
_atom_site_label
_atom_site_type_symbol
_atom_site_fract_x
_atom_site_fract_y
_atom_site_fract_z
_atom_site_occupancy
Pm1 Pm 0.000 0.000 0.000 1
Ho1 Ho 0.000 0.000 0.500 1
Tc1 Tc 0.250 0.250 0.250 1
Ag1 Ag 0.250 0.250 0.750 1
# ρ = 9.557 g cm⁻³
# formation energy from the elements = -64.9 meV/atom

[5]
# TcHgSe | Alexandria via LeMat-Bulk | PBE-GGA | optimized geometry
data_TcHgSe
_symmetry_space_group_name_H-M 'I 4 m m'
_symmetry_Int_Tables_number 107
_symmetry_space_group_name_Hall 'I 4 -2'
_cell_length_a 3.066
_cell_length_b 3.066
_cell_length_c 12.863
_cell_angle_alpha 90.00
_cell_angle_beta 90.00
_cell_angle_gamma 90.00
loop_
_atom_site_label
_atom_site_type_symbol
_atom_site_fract_x
_atom_site_fract_y
_atom_site_fract_z
_atom_site_occupancy
Tc1 Tc 0.000 0.000 0.000 1
Hg1 Hg 0.000 0.000 0.658 1
Se1 Se 0.000 0.000 0.397 1
# ρ = 10.367 g cm⁻³
# ΔE_f (raw) = 0.084 eV/atom

[6]
# Tm2MgOs | Alexandria via LeMat-Bulk | PBE-GGA | optimized geometry
data_Tm2MgOs
_symmetry_space_group_name_H-M 'P 4/m m m'
_symmetry_Int_Tables_number 123
_symmetry_space_group_name_Hall '-P 4 2'
_cell_length_a 3.400
_cell_length_b 3.400
_cell_length_c 8.040
_cell_angle_alpha 90.00
_cell_angle_beta 90.00
_cell_angle_gamma 90.00
loop_
_atom_site_label
_atom_site_type_symbol
_atom_site_fract_x
_atom_site_fract_y
_atom_site_fract_z
_atom_site_occupancy
Tm1 Tm 0.000 0.000 0.201 1
Mg1 Mg 0.500 0.500 0.500 1
Os1 Os 0.500 0.500 0.000 1
# ρ = 9.869 g cm⁻³
# formation energy from the elements = -259.2 meV/atom

[7]
# DyMg8Sc2 | Alexandria via LeMat-Bulk | PBE-GGA | optimized geometry
data_DyMg8Sc2
_symmetry_space_group_name_H-M 'I m m m'
_symmetry_Int_Tables_number 71
_symmetry_space_group_name_Hall '-I 2 2'
_cell_length_a 5.121
_cell_length_b 7.693
_cell_length_c 13.842
_cell_angle_alpha 90.00
_cell_angle_beta 90.00
_cell_angle_gamma 90.00
loop_
_atom_site_label
_atom_site_type_symbol
_atom_site_fract_x
_atom_site_fract_y
_atom_site_fract_z
_atom_site_occupancy
Dy1 Dy 0.000 0.000 0.000 1
Mg1 Mg 0.000 0.199 0.500 1
Mg2 Mg 0.000 0.307 0.142 1
Mg3 Mg 0.000 0.500 0.345 1
Sc1 Sc 0.000 0.000 0.288 1
# ρ = 2.721 g cm⁻³
# formation energy from the elements = 77.0 meV/atom

[8]
# Re2NiOs | Alexandria via LeMat-Bulk | PBE-GGA | optimized geometry
data_Re2NiOs
_symmetry_space_group_name_H-M 'I 4/m m m'
_symmetry_Int_Tables_number 139
_symmetry_space_group_name_Hall '-I 4 2'
_cell_length_a 3.801
_cell_length_b 3.801
_cell_length_c 7.699
_cell_angle_alpha 90.00
_cell_angle_beta 90.00
_cell_angle_gamma 90.00
loop_
_atom_site_label
_atom_site_type_symbol
_atom_site_fract_x
_atom_site_fract_y
_atom_site_fract_z
_atom_site_occupancy
Re1 Re 0.000 0.500 0.250 1
Ni1 Ni 0.000 0.000 0.000 1
Os1 Os 0.000 0.000 0.500 1
# ρ = 18.552 g cm⁻³
# formation energy from the elements = 90.8 meV/atom

[9]
# MnFeSiGe | Alexandria via LeMat-Bulk | PBE-GGA | optimized geometry
data_MnFeSiGe
_symmetry_space_group_name_H-M 'P m m 2'
_symmetry_Int_Tables_number 25
_cell_length_a 2.830
_cell_length_b 3.507
_cell_length_c 4.971
_cell_angle_alpha 90.00
_cell_angle_beta 90.00
_cell_angle_gamma 90.00
loop_
_symmetry_equiv_pos_as_xyz
'x,y,z'
'-x,-y,z'
'-x,y,z'
'x,-y,z'
loop_
_atom_site_label
_atom_site_type_symbol
_atom_site_fract_x
_atom_site_fract_y
_atom_site_fract_z
_atom_site_occupancy
Mn1 Mn 0.000 0.000 0.000 1
Fe1 Fe 0.500 0.000 0.520 1
Si1 Si 0.500 0.500 0.836 1
Ge1 Ge 0.000 0.500 0.344 1
# ρ = 7.117 g cm⁻³
# ΔE_f (raw) = -0.131 eV/atom

[10]
# Ac2BeB10 | Alexandria via LeMat-Bulk | PBE-GGA | optimized geometry
data_Ac2BeB10
_symmetry_space_group_name_H-M 'P b a m'
_symmetry_Int_Tables_number 55
_cell_length_a 5.768
_cell_length_b 11.415
_cell_length_c 4.277
_cell_angle_alpha 90.00
_cell_angle_beta 90.00
_cell_angle_gamma 90.00
loop_
_symmetry_equiv_pos_as_xyz
'x,y,z'
'-x,-y,-z'
'-x,-y,z'
'x,y,-z'
'x+1/2,-y+1/2,-z'
'-x+1/2,y+1/2,z'
'-x+1/2,y+1/2,-z'
'x+1/2,-y+1/2,z'
loop_
_atom_site_label
_atom_site_type_symbol
_atom_site_fract_x
_atom_site_fract_y
_atom_site_fract_z
_atom_site_occupancy
Ac1 Ac 0.194 0.135 0.000 1
Be1 Be 0.000 0.500 0.500 1
B1 B 0.036 0.312 0.500 1
B2 B 0.128 0.958 0.500 1
B3 B 0.158 0.804 0.500 1
B4 B 0.200 0.387 0.203 1
# ρ = 6.735 g cm⁻³
# formation energy from the elements = -440.4 meV/atom

[11]
# PuNpNi4 | Alexandria via LeMat-Bulk | PBE-GGA | optimized geometry
data_PuNpNi4
_symmetry_space_group_name_H-M 'F -4 3 m'
_symmetry_Int_Tables_number 216
_symmetry_space_group_name_Hall 'F -4 2 3'
_cell_length_a 7.092
_cell_length_b 7.092
_cell_length_c 7.092
_cell_angle_alpha 90.00
_cell_angle_beta 90.00
_cell_angle_gamma 90.00
loop_
_atom_site_label
_atom_site_type_symbol
_atom_site_fract_x
_atom_site_fract_y
_atom_site_fract_z
_atom_site_occupancy
Pu1 Pu 0.000 0.000 0.000 1
Np1 Np 0.250 0.250 0.250 1
Ni1 Ni 0.125 0.125 0.625 1
# ρ = 13.330 g cm⁻³
# formation energy from the elements = -215.1 meV/atom

[12]
# LaZn2C | Alexandria via LeMat-Bulk | PBE-GGA | optimized geometry
data_LaZn2C
_symmetry_space_group_name_H-M 'I 41/a m d'
_symmetry_Int_Tables_number 141
_cell_length_a 4.600
_cell_length_b 4.600
_cell_length_c 14.661
_cell_angle_alpha 90.00
_cell_angle_beta 90.00
_cell_angle_gamma 90.00
loop_
_symmetry_equiv_pos_as_xyz
'x,y,z'
'-x,-y,-z'
'-y+1/4,x+3/4,z+1/4'
'y+1/4,-x+3/4,-z+1/4'
'-x+1/2,-y,z+1/2'
'x+1/2,y,-z+1/2'
'y+1/4,-x+1/4,z+3/4'
'-y+1/4,x+1/4,-z+3/4'
'x,-y,-z'
'-x,y,z'
'-y+1/4,-x+1/4,-z+3/4'
'y+1/4,x+1/4,z+3/4'
'-x+1/2,y,-z+1/2'
'x+1/2,-y,z+1/2'
'y+1/4,x+3/4,-z+1/4'
'-y+1/4,-x+3/4,z+1/4'
'x+1/2,y+1/2,z+1/2'
'-x+1/2,-y+1/2,-z+1/2'
'-y+3/4,x+1/4,z+3/4'
'y+3/4,-x+1/4,-z+3/4'
'-x,-y+1/2,z'
'x,y+1/2,-z'
'y+3/4,-x+3/4,z+1/4'
'-y+3/4,x+3/4,-z+1/4'
'x+1/2,-y+1/2,-z+1/2'
'-x+1/2,y+1/2,z+1/2'
'-y+3/4,-x+3/4,-z+1/4'
'y+3/4,x+3/4,z+1/4'
'-x,y+1/2,-z'
'x,-y+1/2,z'
'y+3/4,x+1/4,-z+3/4'
'-y+3/4,-x+1/4,z+3/4'
loop_
_atom_site_label
_atom_site_type_symbol
_atom_site_fract_x
_atom_site_fract_y
_atom_site_fract_z
_atom_site_occupancy
La1 La 0.000 0.250 0.375 1
Zn1 Zn 0.000 0.000 0.000 1
C1 C 0.000 0.250 0.875 1
# ρ = 6.031 g cm⁻³
# formation energy from the elements = 484.9 meV/atom

Question: The highest ρ belongs to which entry?
Answer: Re2NiOs

Question: Which value of ρ does entry 3 give?
Answer: 10.396 g cm⁻³